1.
First-principles (PBE-GGA) data for a geometry-optimized Pm6Pr2Zn structure, as listed in Alexandria via LeMat-Bulk.

## Properties
crystal system = hexagonal
relative energy among the computed polymorphs = 0 meV per atom

Cell lengths 9.5412, 9.5412, 3.7647 Å; angles 90.00, 90.00, 120.00 degrees
Last column: nearest neighbours and their distance in Å.
Space group P-62m (No. 189)
Symmetry-distinct sites (fractional):
Pm 0.0000 0.3831 0.0000 x3  4 Pr 3.52, 1 Zn 3.66, 8 Pm 3.73-3.93
Pm 0.0000 0.7445 0.5000 x3  2 Zn 3.08
Pr 0.3333 0.6667 0.5000 x2  9 Pm 3.52-3.61, 2 Pr 3.76
Zn 0.0000 0.0000 0.0000 x1  6 Pm 3.08


2.
First-principles (PBE-GGA) data for a geometry-optimized Pm2Pr6Zn structure, as listed in Alexandria via LeMat-Bulk.

## Properties
crystal system = hexagonal
relative energy among the computed polymorphs = 0 meV per atom

Cell lengths 9.6688, 9.6688, 3.7589 Å; angles 90.00, 90.00, 120.00 degrees
Last column: nearest neighbours and their distance in Å.
Space group P-62m (No. 189)
Symmetry-distinct sites (fractional):
Pm 0.3333 0.6667 0.0000 x2  9 Pr 3.56-3.63, 2 Pm 3.76
Pr 0.0000 0.3799 0.5000 x3  4 Pm 3.56, 1 Zn 3.67, 8 Pr 3.76-3.96
Pr 0.0000 0.7403 0.0000 x3  2 Zn 3.14
Zn 0.0000 0.0000 0.5000 x1  6 Pr 3.14


3.
First-principles (PBE-GGA) data for a geometry-optimized Pm2PrZn2 structure, as listed in Alexandria via LeMat-Bulk.

## Properties
crystal system = monoclinic
relative energy among the computed polymorphs = 75 meV per atom

Cell lengths 4.6491, 4.4665, 13.4740 Å; angles 90.00, 99.84, 90.00 degrees
Last column: nearest neighbours and their distance in Å.
Space group P2_1/m (No. 11)
Symmetry-distinct sites (fractional):
Pm 0.0567 0.2500 0.1089 x2  7 Zn 3.02-3.35
Pm 0.2639 0.7500 0.5270 x2  2 Zn 2.94-2.95
Pr 0.3622 0.2500 0.7299 x2  1 Zn 2.97
Zn 0.1690 0.2500 0.3367 x2  3 Pm 2.94-3.02
Zn 0.4799 0.2500 0.9540 x2  2 Zn 2.55


4.
First-principles (PBE-GGA) data for a geometry-optimized Pm2PrZn9 structure, as listed in Alexandria via LeMat-Bulk.

## Properties
crystal system = trigonal

Cell lengths 5.5308, 5.5308, 26.2061 Å; angles 90.00, 90.00, 120.00 degrees
Last column: nearest neighbours and their distance in Å.
Space group R-3m (No. 166, hexagonal axes)
Symmetry-distinct sites (fractional):
Pm 0.0000 0.0000 0.1412 x6  12 Zn 3.17-3.29, 3 Pm 3.46
Pr 0.0000 0.0000 0.0000 x3  18 Zn 3.19-3.50
Zn 0.0000 0.0000 0.3350 x6  6 Zn 2.65-2.69
Zn 0.0000 0.0000 0.5000 x3  6 Zn 2.75
Zn 0.0045 0.5023 0.9182 x18  7 Zn 2.65-2.80


5.
First-principles (PBE-GGA) data for a geometry-optimized Pm6Pr2Zn structure, as listed in Alexandria via LeMat-Bulk.

## Properties
crystal system = monoclinic
relative energy among the computed polymorphs = 132 meV per atom

Cell lengths 17.5724, 9.6404, 3.5977 Å; angles 90.00, 90.14, 90.00 degrees
Last column: nearest neighbours and their distance in Å.
Space group C2/m (No. 12)
Symmetry-distinct sites (fractional):
Pm 0.0000 0.2257 0.0000 x4  2 Zn 3.20, 4 Pm 3.51-3.52
Pm 0.1623 0.3296 0.4999 x8  6 Pm 3.29-3.60, 1 Zn 3.29, 2 Pr 3.65-3.66
Pr 0.1728 0.0000 0.9972 x4  2 Pr 3.60, 10 Pm 3.65-3.79
Zn 0.0000 0.5000 0.5000 x2  8 Pm 3.20-3.29


6.
First-principles (PBE-GGA) data for a geometry-optimized PmPr2Zn4 structure, as listed in Alexandria via LeMat-Bulk.

## Properties
crystal system = tetragonal

Cell lengths 5.3130, 5.3130, 12.8967 Å; angles 90.00, 90.00, 90.00 degrees
Last column: nearest neighbours and their distance in Å.
Space group I4/mmm (No. 139)
Symmetry-distinct sites (fractional):
Pm 0.0000 0.0000 0.0000 x2  8 Zn 2.99
Pr 0.0000 0.0000 0.2819 x4  4 Zn 3.03
Zn 0.0000 0.5000 0.1057 x8  1 Zn 2.73, 2 Pm 2.99, 2 Pr 3.03


7.
First-principles (PBE-GGA) data for a geometry-optimized Pm4Pr5Zn structure, as listed in Alexandria via LeMat-Bulk.

## Properties
crystal system = tetragonal

Cell lengths 4.1995, 4.1995, 18.7953 Å; angles 90.00, 90.00, 90.00 degrees
Last column: nearest neighbours and their distance in Å.
Space group P4/mmm (No. 123)
Symmetry-distinct sites (fractional):
Pm 0.0000 0.0000 0.1029 x2  8 Pr 3.52-3.54, 2 Pm 3.77-3.87
Pm 0.0000 0.0000 0.3037 x2  8 Pr 3.52-3.62, 1 Zn 3.69, 1 Pm 3.77
Pr 0.5000 0.5000 0.0000 x1  8 Pm 3.54, 2 Pr 3.82
Pr 0.5000 0.5000 0.2033 x2  8 Pm 3.52, 1 Pr 3.82
Pr 0.5000 0.5000 0.4140 x2  1 Pr 3.23, 4 Zn 3.38, 4 Pm 3.62
Zn 0.0000 0.0000 0.5000 x1  8 Pr 3.38, 2 Pm 3.69


8.
First-principles (PBE-GGA) data for a geometry-optimized PmPr4Zn4 structure, as listed in Alexandria via LeMat-Bulk.

## Properties
crystal system = tetragonal

Cell lengths 9.8846, 9.8846, 5.1902 Å; angles 90.00, 90.00, 90.00 degrees
Last column: nearest neighbours and their distance in Å.
Space group I4/m (No. 87)
Symmetry-distinct sites (fractional):
Pm 0.0000 0.0000 0.0000 x2  8 Zn 3.19
Pr 0.1152 0.3434 0.0000 x8  4 Zn 3.08-3.12
Zn 0.0721 0.1734 0.5000 x8  2 Zn 2.62


Number 1: total magnetic moment 0.0 μB/f.u., ΔH_f (0 K) -0.04 eV/atom, total energy -4.41 eV per atom. Number 2: total magnetic moment 0.0 μB/f.u., ΔH_f (0 K) -0.04 eV/atom, total energy -4.42 eV per atom. Number 3: total magnetic moment 0.0 μB/f.u., ΔH_f (0 K) -0.16 eV/atom, total energy -3.53 eV per atom. Number 4: total magnetic moment 0.0 μB/f.u., ΔH_f (0 K) -0.31 eV/atom, total energy -2.45 eV per atom. Number 5: total magnetic moment 0.0 μB/f.u., ΔH_f (0 K) 0.09 eV/atom, total energy -4.28 eV per atom. Number 6: total magnetic moment 0.0 μB/f.u., ΔH_f (0 K) -0.15 eV/atom, total energy -2.92 eV per atom. Number 7: total magnetic moment 0.0 μB/f.u., ΔH_f (0 K) 0.06 eV/atom, total energy -4.35 eV per atom. Number 8: total magnetic moment 0.0 μB/f.u., ΔH_f (0 K) -0.14 eV/atom, total energy -3.36 eV per atom.